Record 1
## ZnC (GGA-PBE)

Data for a relaxed structure of ZnC.

Summary:
Density of states at the Fermi level   0.0 states/eV/f.u.
Space-group type   C2/m (12)
Energy above the most stable polymorph in this dataset   1.429 eV/f.u.
DFT formation energy   796 meV per atom
Energy   -4.45 eV/atom
M_tot   0.00 μB per formula unit

a b c (Å): 3.693 3.693 5.019
angles (deg): 103.13 103.13 75.62
Sites, in units of the cell vectors:
Zn 0.055 0.055 0.248
Zn 0.945 0.945 0.752
C 0.360 0.640 0.500
C 0.640 0.360 0.500

=====

Record 2
## Zn6C7 (GGA-PBE)

Data for a relaxed structure of Zn6C7.

Summary:
Density of states at the Fermi level   2.6 states/eV/f.u.
Space-group type   R-3m (166)
DFT formation energy   1316 meV per atom
Energy   -4.24 eV/atom
M_tot   0.18 μB per formula unit

a b c (Å): 12.180 12.180 12.180
angles (deg): 22.47 22.47 22.47
Sites, in units of the cell vectors:
Zn 0.105 0.105 0.105
Zn 0.176 0.176 0.176
Zn 0.393 0.393 0.393
Zn 0.607 0.607 0.607
Zn 0.824 0.824 0.824
Zn 0.895 0.895 0.895
C 0.082 0.376 0.376
C 0.376 0.082 0.376
C 0.376 0.376 0.082
C 0.500 0.500 0.500
C 0.624 0.624 0.918
C 0.624 0.918 0.624
C 0.918 0.624 0.624

=====

Record 3
## ZnC (GGA-PBE)

Data for a relaxed structure of ZnC.

Summary:
Density of states at the Fermi level   0.3 states/eV/f.u.
Space-group type   I4/mmm (139)
Energy above the most stable polymorph in this dataset   1.329 eV/f.u.
DFT formation energy   747 meV per atom
Energy   -4.50 eV/atom
M_tot   0.00 μB per formula unit

a b c (Å): 6.740 6.740 6.740
angles (deg): 92.10 92.10 157.93
Sites, in units of the cell vectors:
Zn 0.000 0.213 0.213
Zn 0.000 0.787 0.787
Zn 0.213 0.000 0.213
Zn 0.787 0.000 0.787
C 0.224 0.224 0.449
C 0.224 0.776 0.000
C 0.776 0.224 0.000
C 0.776 0.776 0.551

=====

Record 4
## Zn2C (GGA-PBE)

Data for a relaxed structure of Zn2C.

Summary:
Density of states at the Fermi level   0.1 states/eV/f.u.
Space-group type   Fm-3m (225)
Energy above the most stable polymorph in this dataset   0.309 eV/f.u.
DFT formation energy   727 meV per atom
Energy   -3.20 eV/atom
M_tot   0.00 μB per formula unit

a b c (Å): 3.691 3.691 3.691
angles (deg): 60.00 60.00 60.00
Sites, in units of the cell vectors:
Zn 0.250 0.250 0.250
Zn 0.750 0.750 0.750
C 0.000 0.000 0.000